1.
Crystalline LaPmGa2Pt2 at its relaxed geometry. Source: the Alexandria database, functional GGA-PBE.

a b c (Å): 4.4985 4.4985 7.5535
angles (deg): 90.00 90.00 120.00
Closest atoms and distances in Å follow each position.
Space group P-3m1 (No. 164)
Symmetry-distinct sites (fractional):
La 0.0000 0.0000 0.0000 (multiplicity 1)  6 Pt 3.26, 6 Ga 3.27
Pm 0.0000 0.0000 0.5000 (multiplicity 1)  6 Ga 3.15, 6 Pt 3.16
Ga 0.3333 0.6667 0.7361 (multiplicity 2)  3 Pt 2.60
Pt 0.3333 0.6667 0.2619 (multiplicity 2)  3 Ga 2.60

Output
The value obtained for the formation energy is -1.03 eV/atom. The density of states at the Fermi level is 4.675 states/eV/cell. The spin magnetization is 0.000 μB/atom. As for the calculated volume: 132.4 Å³/cell.

=====

2.
Crystalline LaPmGaPt at its relaxed geometry. Source: the Alexandria database, functional GGA-PBE.

a b c (Å): 7.3708 7.3708 7.3708
angles (deg): 90.00 90.00 90.00
Closest atoms and distances in Å follow each position.
Space group F-43m (No. 216)
Symmetry-distinct sites (fractional):
La 0.0000 0.0000 0.0000 (multiplicity 4)  4 Ga 3.19, 4 Pt 3.19
Pm 0.0000 0.0000 0.5000 (multiplicity 4)  4 Pt 3.19, 4 Ga 3.19
Ga 0.2500 0.2500 0.2500 (multiplicity 4)  4 La 3.19, 4 Pm 3.19
Pt 0.2500 0.2500 0.7500 (multiplicity 4)  4 La 3.19, 4 Pm 3.19

Output
The value obtained for the formation energy is -0.75 eV/atom. The density of states at the Fermi level is 15.086 states/eV/cell. The spin magnetization is 0.000 μB/atom. As for the calculated volume: 400.4 Å³/cell. The value obtained for the excess energy over the best structure of this formula in the dataset is 0.42 eV per formula unit.

=====

3.
Crystalline LaPmGaPt at its relaxed geometry. Source: the Alexandria database, functional GGA-PBE.

a b c (Å): 4.4784 4.2900 10.7223
angles (deg): 90.00 90.00 90.00
Closest atoms and distances in Å follow each position.
Space group Amm2 (No. 38)
Symmetry-distinct sites (fractional):
La 0.0000 0.0000 0.0000 (multiplicity 2)  3 Pt 3.01-3.18, 4 Ga 3.21
Pm 0.5000 0.0000 0.2837 (multiplicity 2)  3 Ga 3.09-3.13, 4 Pt 3.18
Ga 0.5000 0.0000 0.5758 (multiplicity 2)  2 Pt 2.72
Pt 0.0000 0.0000 0.7191 (multiplicity 2)  2 Ga 2.72, 1 La 3.01

Output
The value obtained for the formation energy is -0.85 eV/atom. The density of states at the Fermi level is 7.684 states/eV/cell. The spin magnetization is 0.000 μB/atom. As for the calculated volume: 206.0 Å³/cell. The value obtained for the excess energy over the best structure of this formula in the dataset is 0.00 eV per formula unit.

=====

4.
Crystalline La2PmGa3Pt4 at its relaxed geometry. Source: the Alexandria database, functional GGA-PBE.

a b c (Å): 4.3680 4.3680 11.3617
angles (deg): 90.00 90.00 90.00
Closest atoms and distances in Å follow each position.
Space group P-4m2 (No. 115)
Symmetry-distinct sites (fractional):
La 0.0000 0.5000 0.2256 (multiplicity 2)  4 Ga 3.33, 8 Pt 3.34-3.37
Pm 0.0000 0.0000 0.5000 (multiplicity 1)  4 Pt 2.86, 4 Ga 3.09
Ga 0.0000 0.5000 0.8828 (multiplicity 2)  5 Pt 2.51-2.56
Ga 0.5000 0.5000 0.5000 (multiplicity 1)  4 Pt 2.86, 4 Pm 3.09
Pt 0.0000 0.0000 0.0000 (multiplicity 1)  4 Ga 2.56
Pt 0.0000 0.5000 0.6619 (multiplicity 2)  1 Ga 2.51
Pt 0.5000 0.5000 0.0000 (multiplicity 1)  4 Ga 2.56

Output
The value obtained for the formation energy is -0.97 eV/atom. The density of states at the Fermi level is 6.652 states/eV/cell. The spin magnetization is 0.000 μB/atom. As for the calculated volume: 216.8 Å³/cell.

=====

5.
Crystalline LaPmGaRu at its relaxed geometry. Source: the Alexandria database, functional GGA-PBE.

a b c (Å): 7.2542 7.2542 7.2542
angles (deg): 90.00 90.00 90.00
Closest atoms and distances in Å follow each position.
Space group F-43m (No. 216)
Symmetry-distinct sites (fractional):
La 0.0000 0.0000 0.0000 (multiplicity 4)  4 Ga 3.14, 4 Ru 3.14
Pm 0.0000 0.0000 0.5000 (multiplicity 4)  4 Ru 3.14, 4 Ga 3.14
Ga 0.2500 0.2500 0.2500 (multiplicity 4)  4 Pm 3.14, 4 La 3.14
Ru 0.2500 0.2500 0.7500 (multiplicity 4)  4 La 3.14, 4 Pm 3.14

Output
The value obtained for the formation energy is -0.31 eV/atom. The density of states at the Fermi level is 11.151 states/eV/cell. The spin magnetization is 0.000 μB/atom. As for the calculated volume: 381.7 Å³/cell. The value obtained for the excess energy over the best structure of this formula in the dataset is 0.46 eV per formula unit.

=====

6.
Crystalline LaPmGaRu at its relaxed geometry. Source: the Alexandria database, functional GGA-PBE.

a b c (Å): 3.9469 4.3945 11.3610
angles (deg): 90.00 90.00 90.00
Closest atoms and distances in Å follow each position.
Space group Amm2 (No. 38)
Symmetry-distinct sites (fractional):
La 0.0000 0.0000 0.0000 (multiplicity 2)  4 Ru 3.00, 2 Ga 3.15
Pm 0.5000 0.0000 0.7195 (multiplicity 2)  1 Ru 3.05, 4 Ga 3.09
Ga 0.0000 0.0000 0.3009 (multiplicity 2)  2 Ru 2.61
Ru 0.5000 0.0000 0.4514 (multiplicity 2)  2 Ga 2.61

Output
The value obtained for the formation energy is -0.43 eV/atom. The density of states at the Fermi level is 9.025 states/eV/cell. The spin magnetization is 0.000 μB/atom. As for the calculated volume: 197.1 Å³/cell. The value obtained for the excess energy over the best structure of this formula in the dataset is 0.00 eV per formula unit.